First-principles (PBE) data for BaHg2Bi2 after structural relaxation, as listed in Alexandria.

Results
* energy above the lowest structure with this stoichiometry: 0.0 meV per atom
* calculated formation energy: -0.416 eV per atom

Cell lengths 5.548, 7.108, 9.426 Å; angles 103.52, 90.27, 112.74 degrees
Sites, in units of the cell vectors:
Ba: 0.249 0.000 0.250
Ba: 0.751 0.000 0.750
Hg: 0.130 0.760 0.543
Hg: 0.372 0.240 0.957
Hg: 0.628 0.760 0.043
Hg: 0.870 0.240 0.457
Bi: 0.041 0.586 0.848
Bi: 0.458 0.414 0.652
Bi: 0.542 0.586 0.348
Bi: 0.959 0.414 0.152


First-principles (PBE) data for MnNbTl2 after structural relaxation, as listed in Alexandria.

Results
* energy above the lowest structure with this stoichiometry: 125.5 meV per atom
* calculated formation energy: 0.860 eV per atom

Cell lengths 6.685, 6.685, 6.685 Å; angles 90.00, 90.00, 90.00 degrees
Sites, in units of the cell vectors:
Mn: 0.000 0.000 0.000
Mn: 0.000 0.500 0.500
Mn: 0.500 0.000 0.500
Mn: 0.500 0.500 0.000
Nb: 0.000 0.000 0.500
Nb: 0.000 0.500 0.000
Nb: 0.500 0.000 0.000
Nb: 0.500 0.500 0.500
Tl: 0.250 0.250 0.250
Tl: 0.250 0.250 0.750
Tl: 0.250 0.750 0.250
Tl: 0.250 0.750 0.750
Tl: 0.750 0.250 0.250
Tl: 0.750 0.250 0.750
Tl: 0.750 0.750 0.250
Tl: 0.750 0.750 0.750


First-principles (PBE) data for Pr5Sc4Pt4 after structural relaxation, as listed in Alexandria.

Results
* calculated formation energy: -0.751 eV per atom

Cell lengths 9.325, 9.325, 9.325 Å; angles 92.63, 92.63, 155.25 degrees
Sites, in units of the cell vectors:
Pr: 0.000 0.000 0.000
Pr: 0.311 0.366 0.678
Pr: 0.366 0.689 0.055
Pr: 0.634 0.311 0.945
Pr: 0.689 0.634 0.322
Sc: 0.109 0.589 0.698
Sc: 0.411 0.109 0.520
Sc: 0.589 0.891 0.480
Sc: 0.891 0.411 0.302
Pt: 0.050 0.258 0.309
Pt: 0.258 0.950 0.208
Pt: 0.742 0.050 0.792
Pt: 0.950 0.742 0.691


First-principles (PBE) data for CaInCo2 after structural relaxation, as listed in Alexandria.

Results
* calculated formation energy: 0.634 eV per atom

Cell lengths 7.364, 7.364, 5.810 Å; angles 90.00, 90.00, 90.00 degrees
Sites, in units of the cell vectors:
Ca: 0.000 0.000 0.000
Ca: 0.000 0.500 0.250
Ca: 0.500 0.000 0.750
Ca: 0.500 0.500 0.500
In: 0.000 0.000 0.500
In: 0.000 0.500 0.750
In: 0.500 0.000 0.250
In: 0.500 0.500 0.000
Co: 0.223 0.250 0.625
Co: 0.250 0.723 0.875
Co: 0.250 0.777 0.375
Co: 0.277 0.250 0.125
Co: 0.723 0.750 0.125
Co: 0.750 0.223 0.375
Co: 0.750 0.277 0.875
Co: 0.777 0.750 0.625


First-principles (PBE) data for Ca2CdInAu6 after structural relaxation, as listed in Alexandria.

Results
* calculated formation energy: -0.053 eV per atom

Cell lengths 7.344, 7.344, 7.344 Å; angles 60.00, 60.00, 60.00 degrees
Sites, in units of the cell vectors:
Ca: 0.250 0.250 0.250
Ca: 0.750 0.750 0.750
Cd: 0.000 0.000 0.000
In: 0.500 0.500 0.500
Au: 0.250 0.250 0.750
Au: 0.250 0.750 0.250
Au: 0.250 0.750 0.750
Au: 0.750 0.250 0.250
Au: 0.750 0.250 0.750
Au: 0.750 0.750 0.250


First-principles (PBE) data for ZrBrF3 after structural relaxation, as listed in Alexandria.

Results
* energy above the lowest structure with this stoichiometry: 0.0 meV per atom

Cell lengths 6.331, 5.228, 5.205 Å; angles 90.00, 90.00, 90.00 degrees
Sites, in units of the cell vectors:
Zr: 0.000 0.085 0.000
Zr: 0.500 0.915 0.500
Br: 0.000 0.589 0.200
Br: 0.500 0.411 0.700
F: 0.000 0.294 0.698
F: 0.245 0.908 0.759
F: 0.255 0.092 0.259
F: 0.500 0.706 0.198
F: 0.745 0.092 0.259
F: 0.755 0.908 0.759


First-principles (PBE) data for Tm2Ga3Rh4 after structural relaxation, as listed in Alexandria.

Results
* calculated formation energy: -0.878 eV per atom

Cell lengths 7.905, 7.905, 7.371 Å; angles 90.00, 90.00, 138.31 degrees
Sites, in units of the cell vectors:
Tm: 0.108 0.892 0.917
Tm: 0.392 0.608 0.417
Tm: 0.608 0.392 0.583
Tm: 0.892 0.108 0.083
Ga: 0.000 0.000 0.500
Ga: 0.022 0.478 0.750
Ga: 0.478 0.022 0.250
Ga: 0.500 0.500 0.000
Ga: 0.522 0.978 0.750
Ga: 0.978 0.522 0.250
Rh: 0.178 0.822 0.524
Rh: 0.191 0.309 0.750
Rh: 0.309 0.191 0.250
Rh: 0.322 0.678 0.024
Rh: 0.678 0.322 0.976
Rh: 0.691 0.809 0.750
Rh: 0.809 0.691 0.250
Rh: 0.822 0.178 0.476


First-principles (PBE) data for BaLa2Cu2 after structural relaxation, as listed in Alexandria.

Results
* energy above the lowest structure with this stoichiometry: 110.8 meV per atom
* calculated formation energy: 0.121 eV per atom

Cell lengths 5.353, 5.353, 11.146 Å; angles 90.00, 90.00, 90.00 degrees
Sites, in units of the cell vectors:
Ba: 0.000 0.000 0.000
Ba: 0.500 0.500 0.500
La: 0.000 0.000 0.352
La: 0.000 0.000 0.648
La: 0.500 0.500 0.148
La: 0.500 0.500 0.852
Cu: 0.000 0.500 0.250
Cu: 0.000 0.500 0.750
Cu: 0.500 0.000 0.250
Cu: 0.500 0.000 0.750


Density list, top to bottom, in g/cm³: 9.58; 12.38; 8.34; 5.75; 8.83; 4.40; 10.39; 5.64
DOS at the Fermi energy list, top to bottom, in states/eV/f.u.: 1.850; 3.766; 15.357; 8.828; 4.100; 0.000; 2.772; 4.882
M_tot list, top to bottom, in μB per formula unit: 0.0; 0.0; 0.0; 2.3; 0.0; 0.0; 0.0; 0.0